1.
# AcTlBr2

Crystalline AcTlBr2 at its relaxed geometry (PBE-GGA, the Alexandria database).

Values from the calculation:
SG: No. 166
Total energy, eV per atom: -3.579
M_tot, Bohr magnetons per cell: 0.18

abc: 3.9324 3.9324 10.9275
angles: 79.63 79.63 60.00
With the nearest neighbours (Å) after each atom.
Element x y z (fractional)
Tl: 0.0000 0.0000 0.0000  6 Br 3.83, 6 Tl 3.93
Br: 0.2372 0.2372 0.2883  3 Ac 3.21
Br: 0.7628 0.7628 0.7117  3 Ac 3.21
Ac: 0.5000 0.5000 0.5000  6 Br 3.21

---

2.
# Ac2NiB3Pt12

Crystalline Ac2NiB3Pt12 at its relaxed geometry (PBE-GGA, the Alexandria database).

Values from the calculation:
SG: No. 166
Calculated formation energy, kJ per mole of atoms: -41.4
M_tot, Bohr magnetons per cell: 0.00

abc: 7.5478 7.5478 7.5478
angles: 63.60 63.60 63.60
With the nearest neighbours (Å) after each atom.
Element x y z (fractional)
Pt: 0.8902 0.8902 0.3696  1 B 2.10
Pt: 0.9164 0.3246 0.3246  2 B 2.15
Pt: 0.1098 0.6304 0.1098  1 B 2.10
Pt: 0.6754 0.0836 0.6754  2 B 2.15
Pt: 0.1098 0.1098 0.6304  1 B 2.10
Pt: 0.6754 0.6754 0.0836  2 B 2.15
Pt: 0.3246 0.9164 0.3246  2 B 2.15
Pt: 0.6304 0.1098 0.1098  1 B 2.10
Pt: 0.3696 0.8902 0.8902  1 B 2.10
Pt: 0.8902 0.3696 0.8902  1 B 2.10
Pt: 0.0836 0.6754 0.6754  2 B 2.15
Pt: 0.3246 0.3246 0.9164  2 B 2.15
B: 0.5000 0.0000 0.0000  6 Pt 2.10-2.15
B: 0.0000 0.5000 0.0000  6 Pt 2.10-2.15
B: 0.0000 0.0000 0.5000  6 Pt 2.10-2.15
Ac: 0.3878 0.3878 0.3878  6 Pt 3.04-3.17
Ac: 0.6122 0.6122 0.6122  6 Pt 3.04-3.17
Ni: 0.0000 0.0000 0.0000  6 Pt 2.38

---

3.
# ScBe2Ag

Crystalline ScBe2Ag at its relaxed geometry (PBE-GGA, the Alexandria database).

Values from the calculation:
Relative energy among the computed polymorphs, meV/atom: 339
SG: No. 141
Calculated formation energy, kJ per mole of atoms: 32.0
M_tot, Bohr magnetons per cell: 0.00

abc: 4.1004 4.1004 8.7094
angles: 76.38 76.38 90.00
With the nearest neighbours (Å) after each atom.
Element x y z (fractional)
Be: 0.8750 0.1254 0.7500  2 Be 2.05, 2 Ag 2.29
Be: 0.3750 0.1246 0.7500  2 Be 2.05, 2 Ag 2.29
Be: 0.8746 0.6250 0.2500  2 Be 2.05, 2 Ag 2.29
Be: 0.8754 0.1250 0.2500  2 Be 2.05, 2 Ag 2.29
Ag: 0.0000 0.0000 0.0000  4 Be 2.29
Ag: 0.7500 0.2500 0.5000  4 Be 2.29
Sc: 0.5000 0.5000 0.0000  4 Ag 2.90, 8 Be 3.08
Sc: 0.2500 0.7500 0.5000  4 Ag 2.90, 8 Be 3.08

---

no.,Fermi-level density of states (states/eV/cell)
1,3.065
2,9.429
3,6.707